a.
The following is a GGA-PBE calculation of SrFeHgSe3 after structural relaxation, from OQMD via LeMat-Bulk.

Calculated values
spin magnetization	0.667	μB/atom

abc: 4.067 13.819 10.748
angles: 90.00 90.00 90.00
Space group Cmcm (No. 63)
Unique sites:
Sr  0.000  0.223  0.250 x4
Fe  0.000  0.000  0.000 x4
Hg  0.000  0.484  0.750 x4
Se  0.000  0.107  0.750 x4
Se  0.000  0.374  0.548 x8

***

b.
The following is a GGA-PBE calculation of SrFeHgSe3 after structural relaxation, from OQMD via LeMat-Bulk.

Calculated values
spin magnetization	0.667	μB/atom

abc: 4.145 13.213 11.274
angles: 90.00 90.00 90.00
Space group Cmcm (No. 63)
Unique sites:
Sr  0.000  0.244  0.250 x4
Fe  0.000  0.043  0.750 x4
Hg  0.000  0.500  0.000 x4
Se  0.000  0.144  0.574 x8
Se  0.000  0.435  0.750 x4

***

Need the numbers? Relative energies in eV/atom: a 0.094; b 0.000.